DFT (SCAN) results for a crystal of CaIr2Ru relaxed with PBEsol.

Computed properties:
energy relative to the elements	0.408	eV/atom
density of states at the Fermi level	0.975	states/eV/atom
E	-185.1	eV/cell

CIF file:
```
data_CaIr2Ru
_symmetry_space_group_name_H-M 'P 1'
_symmetry_Int_Tables_number 1
_symmetry_space_group_name_Hall 'P 1'
_cell_length_a 2.7807
_cell_length_b 2.7807
_cell_length_c 9.4428
_cell_angle_alpha 81.53
_cell_angle_beta 81.53
_cell_angle_gamma 60.00
loop_
_atom_site_label
_atom_site_fract_x
_atom_site_fract_y
_atom_site_fract_z
_atom_site_occupancy
Ir1 0.7515 0.7515 0.7455 1
Ir2 0.0052 0.0052 0.9843 1
Ca1 0.2505 0.2505 0.2486 1
Ru1 0.4928 0.4928 0.5216 1
```